The following is a PBE-GGA calculation of a relaxed La2ZrMo crystal, from Alexandria.

Computed properties:
SG ... R-3m (166)
Energy above the most stable polymorph in this dataset ... 32.7 kJ/mol of atoms
DOS(E_F) ... 4.51 states/eV/cell

extended XYZ file:
```
4
Lattice="1.7517 1.0113 9.6719 -1.7517 1.0113 9.6719 0.0000 -2.0226 9.6719" Properties=species:S:1:pos:R:3 pbc="T T T"
La 0.0000 0.0000 6.9993
La 0.0000 0.0000 22.0163
Zr 0.0000 0.0000 0.0000
Mo 0.0000 0.0000 14.5078
```